# PBEsol LiYMg2, optimized geometry
data_LiYMg2
_cell_length_a 3.646
_cell_length_b 5.280
_cell_length_c 9.944
_cell_angle_alpha 90.00
_cell_angle_beta 90.00
_cell_angle_gamma 90.00
_space_group_name_H-M_alt 'I m m 2'
_space_group_IT_number 44
_space_group_name_Hall 'I 2 -2'
loop_
_atom_site_label
_atom_site_type_symbol
_atom_site_fract_x
_atom_site_fract_y
_atom_site_fract_z
Li1 Li 0.000 0.000 0.000
Y1 Y 0.000 0.500 0.764
Mg1 Mg 0.000 0.000 0.537
Mg2 Mg 0.000 0.500 0.281
# - DFT formation energy (eV/atom) = 0.021
# - E above lowest polymorph (eV per formula unit) = 0.30